[1]
First-principles (PBEsol) data for KTl2Pb after structural relaxation, as listed in the Alexandria database.

Output
Calculated formation energy: -0.03 eV/atom
Density: 8.765 g/cm³

abc: 3.9844 5.6622 6.4997
angles: 115.82 107.85 90.00
Sites, in units of the cell vectors:
Pb: 0.2683 0.7683 0.5365
Tl: 0.9988 0.9988 0.9976
Tl: 0.7329 0.2329 0.4658
K: 0.5000 0.5000 0.0001

***

[2]
First-principles (PBEsol) data for K2TlPb after structural relaxation, as listed in the Alexandria database.

Output
Calculated formation energy: -0.10 eV/atom
Density: 5.552 g/cm³
Excess energy over the best structure of this formula in the dataset: 0.00 eV/f.u.

abc: 4.1014 6.0237 6.9594
angles: 115.64 107.14 90.00
Sites, in units of the cell vectors:
Pb: 0.5330 0.5330 0.0659
Tl: 0.2203 0.7203 0.4406
K: 0.9740 0.9740 0.9481
K: 0.7727 0.2727 0.5455

***

[3]
First-principles (PBEsol) data for KTlPb2 after structural relaxation, as listed in the Alexandria database.

Output
Calculated formation energy: -0.03 eV/atom
Density: 9.008 g/cm³
Excess energy over the best structure of this formula in the dataset: 0.29 eV/f.u.

abc: 3.4198 6.2251 6.2251
angles: 113.78 90.00 90.00
Sites, in units of the cell vectors:
K: 0.5000 0.5000 0.5000
Pb: 0.0000 0.5000 0.0000
Pb: 0.0000 0.0000 0.5000
Tl: 0.5000 0.0000 0.0000

***

[4]
First-principles (PBEsol) data for KTlPb2 after structural relaxation, as listed in the Alexandria database.

Output
Calculated formation energy: -0.05 eV/atom
Density: 8.529 g/cm³
Excess energy over the best structure of this formula in the dataset: 0.21 eV/f.u.

abc: 3.4581 5.8100 6.7214
angles: 96.26 90.00 107.31
Sites, in units of the cell vectors:
Pb: 0.7473 0.4946 0.7016
Pb: 0.2527 0.5054 0.2984
Tl: 0.0000 0.0000 0.5000
K: 0.5000 0.0000 0.0000

***

> What is the formula in the first record?

KTl2Pb